An optimized crystal structure of PrSmNO, computed with PBE.

M_tot: 0.000 μB/f.u.
Calculated density: 8.116 g/cm³
Electronic total energy: -7.837 eV per atom
Raw formation energy: -2.1413 eV per atom

Geometry as extended XYZ:
```
4
Lattice="3.590 0.000 0.000 0.000 3.590 0.000 0.000 0.000 5.099" Properties=species:S:1:pos:R:3 pbc="T T T"
Pr 0.000 0.000 0.000
Sm 1.795 1.795 2.550
N 0.000 0.000 2.550
O 1.795 1.795 0.000
```


An optimized crystal structure of TbPrNO, computed with PBE.

M_tot: 0.000 μB/f.u.
Calculated density: 8.593 g/cm³
Electronic total energy: -7.464 eV per atom
Raw formation energy: -1.7907 eV per atom

Geometry as extended XYZ:
```
4
Lattice="-1.620 1.625 6.052 1.620 -1.625 6.052 1.620 1.625 -6.052" Properties=species:S:1:pos:R:3 pbc="T T T"
Tb 0.000 0.000 0.000
Pr 1.620 0.000 2.949
N 0.000 0.000 7.056
O 0.000 1.625 4.200
```


An optimized crystal structure of PrThNO, computed with PBE.

M_tot: 0.000 μB/f.u.
Calculated density: 7.245 g/cm³
Electronic total energy: -8.029 eV per atom
Raw formation energy: -1.6587 eV per atom

Geometry as extended XYZ:
```
8
Lattice="4.573 0.000 0.000 0.000 4.573 0.000 0.000 0.000 8.832" Properties=species:S:1:pos:R:3 pbc="T T T"
Pr 1.143 1.143 0.866
Pr 3.430 3.430 7.966
Th 1.143 3.430 4.416
Th 3.430 1.143 4.416
N 1.143 1.143 5.172
N 3.430 3.430 3.660
O 1.143 3.430 0.000
O 3.430 1.143 0.000
```


An optimized crystal structure of PrTiNO2, computed with PBE.

M_tot: 0.000 μB/f.u.
Calculated density: 5.780 g/cm³
Electronic total energy: -8.766 eV per atom
Raw formation energy: -2.5828 eV per atom

Geometry as extended XYZ:
```
5
Lattice="3.758 0.000 0.000 0.000 3.758 0.000 0.000 0.000 4.776" Properties=species:S:1:pos:R:3 pbc="T T T"
Pr 0.000 0.000 0.000
Ti 1.879 1.879 2.195
N 1.879 1.879 4.002
O 0.000 1.879 1.601
O 1.879 0.000 1.601
```


An optimized crystal structure of PrZnNO, computed with PBE.

M_tot: 0.000 μB/f.u.
Calculated density: 6.382 g/cm³
Electronic total energy: -6.300 eV per atom
Raw formation energy: -1.4662 eV per atom

Geometry as extended XYZ:
```
8
Lattice="3.629 0.000 0.000 -1.814 3.143 0.000 0.000 0.000 10.783" Properties=species:S:1:pos:R:3 pbc="T T T"
Pr 0.000 2.095 0.000
Pr 1.814 1.048 5.392
Zn 0.000 0.000 3.076
Zn 0.000 0.000 8.467
N 0.000 2.095 3.891
N 1.814 1.048 9.283
O 0.000 0.000 1.108
O 0.000 0.000 6.500
```


An optimized crystal structure of PrZrNO2, computed with PBE.

M_tot: 0.000 μB/f.u.
Calculated density: 6.479 g/cm³
Electronic total energy: -8.960 eV per atom
Raw formation energy: -2.6462 eV per atom

Geometry as extended XYZ:
```
20
Lattice="5.807 0.000 0.000 0.000 5.964 0.000 -5.725 0.000 8.235" Properties=species:S:1:pos:R:3 pbc="T T T"
Pr -0.101 0.281 2.004
Pr -2.963 2.701 6.122
Pr 3.045 3.263 2.113
Pr 0.183 5.683 6.231
Zr -2.862 0.000 4.117
Zr 0.000 2.982 0.000
Zr 2.903 0.000 0.000
Zr 0.041 2.982 4.117
N -4.521 1.244 7.754
N -1.659 1.738 3.637
N 1.741 4.226 4.598
N 4.603 4.719 0.481
O -4.050 4.237 7.711
O -1.187 4.708 3.593
O -2.190 0.224 6.177
O 0.672 2.758 2.059
O -0.591 3.206 6.176
O 2.272 5.740 2.058
O 1.269 1.255 4.642
O 4.131 1.727 0.524
```


An optimized crystal structure of Pr2ZrN2O2, computed with PBE.

M_tot: 0.000 μB/f.u.
Calculated density: 6.459 g/cm³
Electronic total energy: -8.540 eV per atom
Raw formation energy: -2.1578 eV per atom

Geometry as extended XYZ:
```
7
Lattice="-2.138 2.138 6.088 2.138 -2.138 6.088 2.138 2.138 -6.088" Properties=species:S:1:pos:R:3 pbc="T T T"
Pr 0.000 0.000 1.626
Pr 0.000 0.000 10.550
Zr 0.000 0.000 6.088
N 2.138 0.000 0.000
N 0.000 2.138 0.000
O 0.000 0.000 3.891
O 0.000 0.000 8.285
```


An optimized crystal structure of PtNO2, computed with PBE.

M_tot: 0.000 μB/f.u.
Calculated density: 8.588 g/cm³
Electronic total energy: -4.601 eV per atom
Raw formation energy: 1.4697 eV per atom

Geometry as extended XYZ:
```
8
Lattice="-2.529 2.529 3.645 2.529 -2.529 3.645 2.529 2.529 -3.645" Properties=species:S:1:pos:R:3 pbc="T T T"
Pt 0.000 0.000 0.000
Pt 0.000 2.529 1.823
N 2.529 0.000 1.823
N 0.000 0.000 3.645
O 1.264 -1.088 2.734
O 1.441 1.264 0.911
O 1.264 3.617 -0.911
O 1.088 1.264 4.556
```


An optimized crystal structure of PtNO2, computed with PBE.

M_tot: 0.000 μB/f.u.
Calculated density: 10.042 g/cm³
Electronic total energy: -4.954 eV per atom
Raw formation energy: 1.1168 eV per atom

Geometry as extended XYZ:
```
4
Lattice="1.389 0.802 5.966 -1.389 0.802 5.966 0.000 -1.604 5.966" Properties=species:S:1:pos:R:3 pbc="T T T"
Pt 0.000 0.000 0.000
N 0.000 0.000 8.949
O 0.000 0.000 1.967
O 0.000 0.000 15.930
```


An optimized crystal structure of PtNO3, computed with PBE.

M_tot: 0.000 μB/f.u.
Calculated density: 7.631 g/cm³
Electronic total energy: -4.344 eV per atom
Raw formation energy: 1.5043 eV per atom

Geometry as extended XYZ:
```
5
Lattice="3.825 0.000 0.000 0.000 3.825 0.000 0.000 0.000 3.825" Properties=species:S:1:pos:R:3 pbc="T T T"
Pt 0.000 0.000 0.000
N 1.912 1.912 1.912
O 0.000 0.000 1.912
O 0.000 1.912 0.000
O 1.912 0.000 0.000
```


An optimized crystal structure of Pt3NO, computed with PBE.

M_tot: 0.001 μB/f.u.
Calculated density: 14.600 g/cm³
Electronic total energy: -5.224 eV per atom
Raw formation energy: 1.0568 eV per atom
Offset from the most stable computed form: 0 meV/atom

Geometry as extended XYZ:
```
5
Lattice="4.121 0.000 0.000 0.000 4.121 0.000 0.000 0.000 4.121" Properties=species:S:1:pos:R:3 pbc="T T T"
Pt 0.000 0.000 2.060
Pt 0.000 2.060 0.000
Pt 2.060 0.000 0.000
N 0.000 0.000 0.000
O 2.060 2.060 2.060
```


An optimized crystal structure of PtNO2, computed with PBE.

M_tot: 2.999 μB/f.u.
Calculated density: 6.550 g/cm³
Electronic total energy: -5.092 eV per atom
Raw formation energy: 0.9784 eV per atom

Geometry as extended XYZ:
```
4
Lattice="2.755 -1.591 0.000 2.755 1.591 0.000 -1.860 0.000 6.974" Properties=species:S:1:pos:R:3 pbc="T T T"
Pt 0.000 0.000 0.000
N 1.825 0.000 3.487
O -0.024 0.000 6.038
O 3.673 0.000 0.936
```